[1]
TeAsN2F | GGA-PBE | relaxed

a = 4.2111 Å, b = 4.2111 Å, c = 4.1536 Å
α = 90.00°, β = 90.00°, γ = 90.00°
Last column: nearest neighbours and their distance in Å.
Fractional positions:
Te: 0.0000 0.0000 0.0000  2 F 2.08, 4 N 2.11
As: 0.5000 0.5000 0.5000  8 N 2.96, 4 F 2.98
N: 0.0000 0.5000 0.0000  2 Te 2.11
N: 0.5000 0.0000 0.0000  2 Te 2.11
F: 0.0000 0.0000 0.5000  2 Te 2.08

Volume   14.7 Å³/atom
Uncorrected formation energy   5.0 eV per formula unit
VASP energy   -21.3 eV for the cell shown
Excess energy over the best structure of this formula in the dataset   282.7 meV per atom

[2]
TiCuGe | GGA-PBE | relaxed

a = 3.6496 Å, b = 3.6496 Å, c = 6.6586 Å
α = 90.00°, β = 90.00°, γ = 90.00°
Last column: nearest neighbours and their distance in Å.
Fractional positions:
Ti: 0.2500 0.2500 0.1459  5 Ge 2.60-2.66
Ti: 0.7500 0.7500 0.8541  5 Ge 2.60-2.66
Cu: 0.2500 0.7500 0.5000  4 Ge 2.50, 4 Cu 2.58
Cu: 0.7500 0.2500 0.5000  4 Ge 2.50, 4 Cu 2.58
Ge: 0.2500 0.2500 0.7560  4 Cu 2.50, 5 Ti 2.60-2.66
Ge: 0.7500 0.7500 0.2440  4 Cu 2.50, 5 Ti 2.60-2.66

Volume   14.8 Å³/atom
Formation enthalpy at 0 K   -10.087 kcal/mol of atoms
VASP energy   -35.8 eV for the cell shown

[3]
Mg5TlCd2In | GGA-PBE | relaxed

a = 8.9935 Å, b = 8.9935 Å, c = 8.9935 Å
α = 127.16°, β = 127.16°, γ = 77.98°
Last column: nearest neighbours and their distance in Å.
Fractional positions:
Mg: 0.0000 0.0000 0.0000  4 Cd 3.20, 8 Mg 3.43, 2 In 3.50
Mg: 0.0722 0.5722 0.9112  1 Cd 2.72, 1 Tl 2.84
Mg: 0.1610 0.0722 0.5000  1 Cd 2.72, 1 Tl 2.84
Mg: 0.3390 0.8390 0.9112  1 Cd 2.72, 1 Tl 2.84
Mg: 0.4278 0.3390 0.5000  1 Cd 2.72, 1 Tl 2.84
Mg: 0.5000 0.5000 0.0000  4 Cd 3.20, 8 Mg 3.43, 2 In 3.50
Mg: 0.5722 0.6610 0.5000  1 Cd 2.72, 1 Tl 2.84
Mg: 0.6610 0.1610 0.0888  1 Cd 2.72, 1 Tl 2.84
Mg: 0.8390 0.9278 0.5000  1 Cd 2.72, 1 Tl 2.84
Mg: 0.9278 0.4278 0.0888  1 Cd 2.72, 1 Tl 2.84
Tl: 0.2500 0.7500 0.5000  4 Mg 2.84
Tl: 0.7500 0.2500 0.5000  4 Mg 2.84
Cd: 0.1188 0.3812 0.5000  1 Cd 2.69, 2 Mg 2.72
Cd: 0.3812 0.8812 0.2624  1 Cd 2.69, 2 Mg 2.72
Cd: 0.6188 0.1188 0.7376  1 Cd 2.69, 2 Mg 2.72
Cd: 0.8812 0.6188 0.5000  1 Cd 2.69, 2 Mg 2.72
In: 0.2500 0.2500 0.0000  10 Mg 3.30-3.50
In: 0.7500 0.7500 0.0000  10 Mg 3.30-3.50

Volume   24.9 Å³/atom
Formation enthalpy at 0 K   1.059 kcal/mol of atoms
VASP energy   -29.0 eV for the cell shown

[4]
LaPrAgI | GGA-PBE | relaxed

a = 7.7627 Å, b = 7.7627 Å, c = 7.7627 Å
α = 90.00°, β = 90.00°, γ = 90.00°
Last column: nearest neighbours and their distance in Å.
Fractional positions:
La: 0.0000 0.0000 0.0000  4 I 3.36, 4 Ag 3.36
La: 0.0000 0.5000 0.5000  4 I 3.36, 4 Ag 3.36
La: 0.5000 0.0000 0.5000  4 I 3.36, 4 Ag 3.36
La: 0.5000 0.5000 0.0000  4 I 3.36, 4 Ag 3.36
Pr: 0.0000 0.0000 0.5000  4 I 3.36, 4 Ag 3.36
Pr: 0.0000 0.5000 0.0000  4 I 3.36, 4 Ag 3.36
Pr: 0.5000 0.0000 0.0000  4 I 3.36, 4 Ag 3.36
Pr: 0.5000 0.5000 0.5000  4 I 3.36, 4 Ag 3.36
Ag: 0.2500 0.2500 0.2500  4 La 3.36, 4 Pr 3.36
Ag: 0.2500 0.7500 0.7500  4 La 3.36, 4 Pr 3.36
Ag: 0.7500 0.2500 0.7500  4 La 3.36, 4 Pr 3.36
Ag: 0.7500 0.7500 0.2500  4 La 3.36, 4 Pr 3.36
I: 0.2500 0.2500 0.7500  4 La 3.36, 4 Pr 3.36
I: 0.2500 0.7500 0.2500  4 La 3.36, 4 Pr 3.36
I: 0.7500 0.2500 0.2500  4 La 3.36, 4 Pr 3.36
I: 0.7500 0.7500 0.7500  4 La 3.36, 4 Pr 3.36

Volume   29.2 Å³/atom
Uncorrected formation energy   -1.8 eV per formula unit
VASP energy   -63.5 eV for the cell shown

[5]
InCo2NiCl | GGA-PBE | relaxed

a = 4.5432 Å, b = 4.5432 Å, c = 4.4265 Å
α = 90.00°, β = 90.00°, γ = 90.00°
Last column: nearest neighbours and their distance in Å.
Fractional positions:
In: 0.0000 0.0000 0.0000  8 Co 3.17, 4 Cl 3.21
Co: 0.0000 0.5000 0.5000  2 Ni 2.27
Co: 0.5000 0.0000 0.5000  2 Ni 2.27
Ni: 0.5000 0.5000 0.5000  2 Cl 2.21, 4 Co 2.27
Cl: 0.5000 0.5000 0.0000  2 Ni 2.21

Volume   18.3 Å³/atom
Uncorrected formation energy   4.0 eV per formula unit
VASP energy   -20.6 eV for the cell shown
Excess energy over the best structure of this formula in the dataset   64.3 meV per atom

[6]
TmPaCd4 | GGA-PBE | relaxed

a = 5.8776 Å, b = 5.8776 Å, c = 5.8776 Å
α = 60.00°, β = 60.00°, γ = 60.00°
Last column: nearest neighbours and their distance in Å.
Fractional positions:
Tm: 0.0000 0.0000 0.0000  12 Cd 3.45, 4 Pa 3.60
Pa: 0.2500 0.2500 0.2500  12 Cd 3.45, 4 Tm 3.60
Cd: 0.1250 0.6250 0.6250  6 Cd 2.94
Cd: 0.6250 0.1250 0.6250  6 Cd 2.94
Cd: 0.6250 0.6250 0.1250  6 Cd 2.94
Cd: 0.6250 0.6250 0.6250  6 Cd 2.94

Volume   23.9 Å³/atom
Formation enthalpy at 0 K   0.434 kcal/mol of atoms
VASP energy   -17.5 eV for the cell shown